# Ce2MgSc GGA-PBE relaxed
data_Ce2MgSc
_chemical_formula_sum 'Ce2 Mg1 Sc1'
_cell_length_a 5.522
_cell_length_b 5.522
_cell_length_c 3.613
_cell_angle_alpha 90.00
_cell_angle_beta 90.00
_cell_angle_gamma 90.00
_space_group_name_H-M_alt 'P 4/m m m'
_space_group_IT_number 123
_space_group_name_Hall '-P 4 2'
loop_
_atom_site_label
_atom_site_fract_x
_atom_site_fract_y
_atom_site_fract_z
Ce1 0.000 0.500 0.000
Mg1 0.000 0.000 0.500
Sc1 0.500 0.500 0.500
# - N(E_F) (states/eV/atom) = 2.72
# - offset from the most stable computed form (meV per atom) = 45
# - ρ (g cm⁻³) = 5.27
# - magnetic moment (μB/cell) = 1.48